1.
Crystalline LaBeSi2 at its relaxed geometry, computed with GGA-PBE.

Cell lengths 4.697, 4.697, 4.697 Å; angles 60.00, 60.00, 60.00 degrees
Element x y z (fractional)
La (0.000, 0.000, 0.000)
Be (0.250, 0.250, 0.250)
Si (0.500, 0.500, 0.500)
Si (0.750, 0.750, 0.750)

Properties
As for the density of states at the Fermi level: 3.5 states/eV/cell. The calculation puts the calculated volume at 18.32 Å³ per atom. The electronic total energy is -4.625 eV per atom.

2.
Crystalline LaBe3Si at its relaxed geometry, computed with GGA-PBE.

Cell lengths 4.330, 4.330, 4.330 Å; angles 90.00, 90.00, 90.00 degrees
Element x y z (fractional)
La (0.000, 0.000, 0.000)
Be (0.000, 0.500, 0.500)
Be (0.500, 0.000, 0.500)
Be (0.500, 0.500, 0.000)
Si (0.500, 0.500, 0.500)

Properties
As for the density of states at the Fermi level: 2.2 states/eV/cell. The calculation puts the calculated volume at 16.24 Å³ per atom. The polymorph energy (0 for the lowest one) comes out at 0.000 eV/atom. The electronic total energy is -3.930 eV per atom.

3.
Crystalline La3BeSi3 at its relaxed geometry, computed with GGA-PBE.

Cell lengths 9.635, 9.635, 9.635 Å; angles 156.16, 153.18, 36.18 degrees
Element x y z (fractional)
La (0.000, 0.000, 0.000)
La (0.184, 0.684, 0.500)
La (0.367, 0.367, 0.000)
Be (0.617, 0.117, 0.500)
Si (0.554, 0.554, 0.000)
Si (0.740, 0.240, 0.500)
Si (0.819, 0.819, 0.000)

Properties
As for the density of states at the Fermi level: 5.1 states/eV/cell. The calculation puts the calculated volume at 23.26 Å³ per atom. The electronic total energy is -5.624 eV per atom.

4.
Crystalline LaBeSi2Tc2 at its relaxed geometry, computed with GGA-PBE.

Cell lengths 4.330, 4.330, 5.417 Å; angles 90.00, 90.00, 90.00 degrees
Element x y z (fractional)
La (0.000, 0.000, 0.000)
Be (0.000, 0.000, 0.500)
Si (0.500, 0.500, 0.252)
Si (0.500, 0.500, 0.748)
Tc (0.000, 0.500, 0.500)
Tc (0.500, 0.000, 0.500)

Properties
As for the density of states at the Fermi level: 4.2 states/eV/cell. The calculation puts the calculated volume at 16.93 Å³ per atom. The electronic total energy is -7.153 eV per atom.

5.
Crystalline La2BeSiTe at its relaxed geometry, computed with GGA-PBE.

Cell lengths 5.976, 5.976, 5.028 Å; angles 90.00, 90.00, 90.00 degrees
Element x y z (fractional)
La (0.000, 0.500, 0.000)
La (0.500, 0.000, 0.000)
Be (0.000, 0.000, 0.500)
Si (0.500, 0.500, 0.500)
Te (0.500, 0.500, 0.000)

Properties
As for the density of states at the Fermi level: 3.8 states/eV/cell. The calculation puts the calculated volume at 35.91 Å³ per atom. The electronic total energy is -3.867 eV per atom.

6.
Crystalline LaThBe2Si2 at its relaxed geometry, computed with GGA-PBE.

Cell lengths 3.961, 3.961, 8.675 Å; angles 90.00, 90.00, 120.00 degrees
Element x y z (fractional)
La (0.000, 0.000, 0.000)
Th (0.000, 0.000, 0.500)
Be (0.333, 0.667, 0.260)
Be (0.667, 0.333, 0.740)
Si (0.333, 0.667, 0.744)
Si (0.667, 0.333, 0.256)

Properties
As for the density of states at the Fermi level: 5.3 states/eV/cell. The calculation puts the calculated volume at 19.64 Å³ per atom. The electronic total energy is -5.722 eV per atom.

7.
Crystalline LaYBe2Si2 at its relaxed geometry, computed with GGA-PBE.

Cell lengths 3.932, 3.932, 8.456 Å; angles 90.00, 90.00, 120.00 degrees
Element x y z (fractional)
La (0.000, 0.000, 0.000)
Y (0.000, 0.000, 0.500)
Be (0.333, 0.667, 0.736)
Be (0.667, 0.333, 0.264)
Si (0.333, 0.667, 0.264)
Si (0.667, 0.333, 0.736)

Properties
As for the density of states at the Fermi level: 3.3 states/eV/cell. The calculation puts the calculated volume at 18.87 Å³ per atom. The electronic total energy is -5.566 eV per atom.

8.
Crystalline La2Be3ZnSi4 at its relaxed geometry, computed with GGA-PBE.

Cell lengths 4.137, 4.137, 9.718 Å; angles 90.00, 90.00, 90.00 degrees
Element x y z (fractional)
La (0.000, 0.500, 0.243)
La (0.500, 0.000, 0.757)
Be (0.000, 0.500, 0.880)
Be (0.500, 0.000, 0.120)
Be (0.500, 0.500, 0.500)
Zn (0.000, 0.000, 0.500)
Si (0.000, 0.000, 0.000)
Si (0.000, 0.500, 0.640)
Si (0.500, 0.000, 0.360)
Si (0.500, 0.500, 0.000)

Properties
As for the density of states at the Fermi level: 2.3 states/eV/cell. The calculation puts the calculated volume at 16.63 Å³ per atom. The electronic total energy is -4.787 eV per atom.

Question: calculated volume of number 7 (LaYBe2Si2)?
Answer: 18.87 Å³ per atom

Question: electronic total energy of number 2 (LaBe3Si)?
Answer: -3.930 eV per atom

Question: What is the formula in the seventh record?
Answer: LaYBe2Si2